A plane-wave DFT calculation with PBE was carried out for a geometry-optimized K8Bi2Se structure. Values from VASP.

Output
The total magnetization is 0.00 μB per formula unit. For the density of states at the Fermi level, the calculation gives 6.045 states/eV per cell. The calculation puts the formation energy from raw total energies at -0.54 eV/atom.

Quantum ESPRESSO input file:
```
&SYSTEM
  ibrav = 0, nat = 11, ntyp = 3
/
ATOMIC_SPECIES
K 39.10 K.upf
Bi 208.98 Bi.upf
Se 78.96 Se.upf
CELL_PARAMETERS angstrom
-3.630 1.667 -4.596
6.461 1.811 -4.446
-1.242 -10.461 1.221
ATOMIC_POSITIONS angstrom
K 1.519 -3.436 -6.479
K 1.720 -5.876 -3.489
K -0.130 -1.107 -4.332
Bi 3.291 -2.142 -3.376
Bi -1.702 -4.842 -4.445
K 3.057 -0.214 -6.526
K 0.071 -3.548 -1.342
K 4.818 1.350 -3.316
Se -1.815 0.833 -2.298
K -1.468 -6.770 -1.296
K -3.229 -8.334 -4.506
```

=====

A plane-wave DFT calculation with PBE was carried out for a geometry-optimized In2BiI structure. Values from VASP.

Output
The energy above the lowest structure with this stoichiometry comes out at 0 meV/atom. The total magnetization is 0.00 μB per formula unit. For the density of states at the Fermi level, the calculation gives 6.166 states/eV per cell. The calculation puts the formation energy from raw total energies at -0.14 eV/atom.

Quantum ESPRESSO input file:
```
&SYSTEM
  ibrav = 0, nat = 16, ntyp = 3
/
ATOMIC_SPECIES
Bi 208.98 Bi.upf
In 114.82 In.upf
I 126.90 I.upf
CELL_PARAMETERS angstrom
-2.813 -5.658 -0.322
3.741 -1.586 -4.812
9.902 -5.463 9.490
ATOMIC_POSITIONS angstrom
Bi 7.980 -6.205 8.241
In 6.872 -9.198 8.366
Bi 3.493 -7.096 0.929
Bi 2.850 -6.502 -3.885
I 6.716 -5.029 -1.367
In 3.958 -3.509 -4.010
In 1.235 -6.089 2.964
In 5.633 -8.276 2.980
In 9.595 -6.619 1.392
I 8.390 -9.798 5.624
In 9.463 -6.785 5.464
I 2.440 -2.909 -1.267
Bi 7.337 -5.612 3.427
In 5.197 -4.432 1.376
In 1.367 -5.922 -1.108
I 4.114 -7.678 5.723
```

=====

A plane-wave DFT calculation with PBE was carried out for a geometry-optimized AlTlTe structure. Values from VASP.

Output
The energy above the lowest structure with this stoichiometry comes out at 76 meV/atom. The total magnetization is 0.00 μB per formula unit. For the density of states at the Fermi level, the calculation gives 1.478 states/eV per cell. The calculation puts the formation energy from raw total energies at -0.03 eV/atom.

Quantum ESPRESSO input file:
```
&SYSTEM
  ibrav = 0, nat = 3, ntyp = 3
/
ATOMIC_SPECIES
Te 127.60 Te.upf
Tl 204.38 Tl.upf
Al 26.98 Al.upf
CELL_PARAMETERS angstrom
-1.020 -5.110 4.127
2.696 -4.974 3.491
0.551 1.318 3.492
ATOMIC_POSITIONS angstrom
Te 0.977 -2.994 5.053
Tl 1.287 -6.138 6.190
Al 1.640 -9.717 7.486
```

=====

A plane-wave DFT calculation with PBE was carried out for a geometry-optimized Er3MgHg12 structure. Values from VASP.

Output
The total magnetization is 0.00 μB per formula unit. For the density of states at the Fermi level, the calculation gives 8.967 states/eV per cell. The total energy is -22.841 eV per formula unit.

Quantum ESPRESSO input file:
```
&SYSTEM
  ibrav = 0, nat = 16, ntyp = 3
/
ATOMIC_SPECIES
Mg 24.30 Mg.upf
Er 167.26 Er.upf
Hg 200.59 Hg.upf
CELL_PARAMETERS angstrom
4.570 0.000 0.000
0.000 4.570 0.000
0.000 0.000 18.200
ATOMIC_POSITIONS angstrom
Mg 0.000 0.000 0.000
Er 0.000 0.000 4.348
Hg 0.000 2.285 6.777
Er 0.000 0.000 9.100
Hg 0.000 2.285 11.422
Er 0.000 0.000 13.851
Hg 2.285 2.285 4.495
Hg 0.000 2.285 2.181
Hg 2.285 0.000 2.181
Hg 0.000 2.285 16.018
Hg 2.285 0.000 16.018
Hg 2.285 0.000 6.777
Hg 2.285 2.285 0.000
Hg 2.285 2.285 13.705
Hg 2.285 2.285 9.100
Hg 2.285 0.000 11.422
```

=====

A plane-wave DFT calculation with PBE was carried out for a geometry-optimized Sr2MnSi4Pt3 structure. Values from VASP.

Output
The total magnetization is 2.90 μB per formula unit. For the density of states at the Fermi level, the calculation gives 3.962 states/eV per cell. The calculation puts the formation energy from raw total energies at -0.79 eV/atom.

Quantum ESPRESSO input file:
```
&SYSTEM
  ibrav = 0, nat = 10, ntyp = 4
/
ATOMIC_SPECIES
Si 28.09 Si.upf
Mn 54.94 Mn.upf
Pt 195.08 Pt.upf
Sr 87.62 Sr.upf
CELL_PARAMETERS angstrom
4.262 0.000 0.000
0.000 4.262 0.000
0.000 0.000 10.218
ATOMIC_POSITIONS angstrom
Si 2.131 2.131 0.000
Mn 2.131 2.131 5.109
Pt 0.000 2.131 1.236
Si 0.000 0.000 0.000
Si 2.131 0.000 6.405
Si 0.000 2.131 3.813
Sr 2.131 0.000 2.529
Sr 0.000 2.131 7.689
Pt 2.131 0.000 8.982
Pt 0.000 0.000 5.109
```

=====

A plane-wave DFT calculation with PBE was carried out for a geometry-optimized GdICl structure. Values from VASP.

Output
The energy above the lowest structure with this stoichiometry comes out at 0 meV/atom. The total magnetization is 7.20 μB per formula unit. For the density of states at the Fermi level, the calculation gives 4.627 states/eV per cell. The calculation puts the formation energy from raw total energies at -1.60 eV/atom.

Quantum ESPRESSO input file:
```
&SYSTEM
  ibrav = 0, nat = 3, ntyp = 3
/
ATOMIC_SPECIES
Cl 35.45 Cl.upf
Gd 157.25 Gd.upf
I 126.90 I.upf
CELL_PARAMETERS angstrom
-3.585 1.532 -1.206
0.384 -1.595 3.736
1.980 6.739 2.673
ATOMIC_POSITIONS angstrom
Cl 0.173 3.231 3.589
Gd -1.560 2.878 1.388
I 0.167 0.567 0.225
```